i.
A plane-wave DFT calculation with PBE-GGA was carried out for LiIn3Ga after structural relaxation.

Geometry as CIF:
```
data_LiIn3Ga
_chemical_formula_sum 'Li1 In3 Ga1'
_space_group_name_H-M_alt 'P m -3 m'
_space_group_IT_number 221
_space_group_name_Hall '-P 4 2 3'
_cell_length_a 5.045
_cell_length_b 5.045
_cell_length_c 5.045
_cell_angle_alpha 90.00
_cell_angle_beta 90.00
_cell_angle_gamma 90.00
loop_
_atom_site_label
_atom_site_fract_x
_atom_site_fract_y
_atom_site_fract_z
Li1 0.000 0.000 0.000
In1 0.000 0.000 0.500
Ga1 0.500 0.500 0.500
```

---

ii.
A plane-wave DFT calculation with PBE-GGA was carried out for LiIn3Ga after structural relaxation.

Geometry as CIF:
```
data_LiIn3Ga
_chemical_formula_sum 'Li4 In12 Ga4'
_space_group_name_H-M_alt 'P n m a'
_space_group_IT_number 62
_cell_length_a 6.967
_cell_length_b 6.249
_cell_length_c 10.854
_cell_angle_alpha 90.00
_cell_angle_beta 90.00
_cell_angle_gamma 90.00
loop_
_space_group_symop_operation_xyz
'x,y,z'
'-x,-y,-z'
'-x+1/2,-y,z+1/2'
'x+1/2,y,-z+1/2'
'x+1/2,-y+1/2,-z+1/2'
'-x+1/2,y+1/2,z+1/2'
'-x,y+1/2,-z'
'x,-y+1/2,z'
loop_
_atom_site_label
_atom_site_fract_x
_atom_site_fract_y
_atom_site_fract_z
Li1 0.179 0.250 0.075
In1 0.164 0.750 0.085
In2 0.191 0.508 0.811
Ga1 0.000 0.000 0.500
```

---

We find ii to be the most stable, with the next structure 249 meV per atom higher.

---

i.
A plane-wave DFT calculation with PBE-GGA was carried out for LiInGa3 after structural relaxation.

Geometry as CIF:
```
data_LiInGa3
_chemical_formula_sum 'Li1 In1 Ga3'
_space_group_name_H-M_alt 'P m -3 m'
_space_group_IT_number 221
_space_group_name_Hall '-P 4 2 3'
_cell_length_a 4.754
_cell_length_b 4.754
_cell_length_c 4.754
_cell_angle_alpha 90.00
_cell_angle_beta 90.00
_cell_angle_gamma 90.00
loop_
_atom_site_label
_atom_site_fract_x
_atom_site_fract_y
_atom_site_fract_z
Li1 0.000 0.000 0.000
In1 0.500 0.500 0.500
Ga1 0.000 0.000 0.500
```

---

ii.
A plane-wave DFT calculation with PBE-GGA was carried out for LiInGa3 after structural relaxation.

Geometry as CIF:
```
data_LiInGa3
_chemical_formula_sum 'Li4 In4 Ga12'
_space_group_name_H-M_alt 'C m c m'
_space_group_IT_number 63
_space_group_name_Hall '-C 2c 2'
_cell_length_a 4.225
_cell_length_b 24.200
_cell_length_c 4.286
_cell_angle_alpha 90.00
_cell_angle_beta 90.00
_cell_angle_gamma 90.00
loop_
_atom_site_label
_atom_site_fract_x
_atom_site_fract_y
_atom_site_fract_z
Li1 0.000 0.071 0.250
In1 0.000 0.204 0.750
Ga1 0.000 0.318 0.750
Ga2 0.000 0.375 0.250
Ga3 0.000 0.476 0.250
```

---

We find ii to be the most stable, with the next structure 240 meV per atom higher.